{"formula": "CaVAgO2", "functional": "PBE with a Hubbard U", "state": "relaxed", "dos_at_fermi_per_ev_atom": 0.745, "volume_a3_per_cell": 125.3, "m_tot_mub_per_cell": 1.945, "dft_energy_ry_per_atom": -0.3088, "lattice": [[4.307, 0.000, 0.000], [0.000, 6.755, 0.000], [0.000, 0.000, 4.307]], "species": ["Ca", "O", "O", "Ag", "V"], "fractional_positions": [[0.000, 0.000, 0.000], [0.000, 0.000, 0.500], [0.500, 0.000, 0.000], [0.500, 0.500, 0.500], [0.000, 0.500, 0.000]]}